This record from the Alexandria database describes an optimized crystal structure of Dy2AlSi3. The functional is PBE.

Results
- magnetic moment (μB per atom) = 0.000
- theoretical density (g cm⁻³) = 6.18
- density of states at the Fermi level (states/eV/cell) = 5.21
- symmetry = Fmmm (69)
- formation energy without anion corrections (eV per atom) = -0.546

abc: 5.760 5.760 8.114
angles: 109.78 109.78 92.68
Fractional coordinates of all 12 atoms:
Al: 0.666 0.666 0.331
Al: 0.334 0.334 0.669
Dy: 0.246 0.246 0.000
Dy: 0.750 0.250 0.500
Dy: 0.754 0.754 0.000
Dy: 0.250 0.750 0.500
Si: 0.165 0.165 0.330
Si: 0.835 0.332 0.167
Si: 0.165 0.668 0.833
Si: 0.332 0.835 0.167
Si: 0.835 0.835 0.670
Si: 0.668 0.165 0.833